First-principles (PBE) data for a relaxed Cs2BiAs2 crystal, as listed in Alexandria via LeMat-Bulk.

Lattice parameters (Å, degrees): 7.723 7.723 6.014 90.00 90.00 90.00
Atoms (fractional coordinates):
Bi: 0.500 0.500 0.000
Bi: 0.000 0.000 0.000
Cs: 0.319 0.181 0.500
Cs: 0.181 0.681 0.500
Cs: 0.681 0.819 0.500
Cs: 0.819 0.319 0.500
As: 0.612 0.112 0.000
As: 0.888 0.612 0.000
As: 0.112 0.388 0.000
As: 0.388 0.888 0.000

Summary:
The value obtained for the volume is 35.87 Å³ per atom. The formation energy comes out at -1.492 eV per formula unit. The calculation puts the polymorph energy (0 for the lowest one) at 0.014 eV per atom. The magnetic moment is 0.0 Bohr magnetons per cell. As for the density of states at the Fermi level: 4.91 states/eV/f.u.



First-principles (PBE) data for a relaxed Cs2Bi2As crystal, as listed in Alexandria via LeMat-Bulk.

Lattice parameters (Å, degrees): 7.960 7.960 6.364 90.00 90.00 90.00
Atoms (fractional coordinates):
Bi: 0.637 0.137 0.000
Bi: 0.137 0.363 0.000
Bi: 0.363 0.863 0.000
Bi: 0.863 0.637 0.000
Cs: 0.177 0.677 0.500
Cs: 0.323 0.177 0.500
Cs: 0.677 0.823 0.500
Cs: 0.823 0.323 0.500
As: 0.000 0.000 0.000
As: 0.500 0.500 0.000

Summary:
The value obtained for the volume is 40.32 Å³ per atom. The formation energy comes out at -0.943 eV per formula unit. The magnetic moment is 0.0 Bohr magnetons per cell. As for the density of states at the Fermi level: 3.56 states/eV/f.u.



First-principles (PBE) data for a relaxed Cs3BiAs crystal, as listed in Alexandria via LeMat-Bulk.

Lattice parameters (Å, degrees): 8.766 8.766 9.194 115.10 114.95 96.46
Atoms (fractional coordinates):
Bi: 0.313 0.950 0.263
Bi: 0.687 0.050 0.737
Cs: 0.851 0.046 0.287
Cs: 0.149 0.954 0.713
Cs: 0.242 0.437 0.287
Cs: 0.758 0.563 0.713
Cs: 0.699 0.428 0.127
Cs: 0.301 0.572 0.873
As: 0.412 0.215 0.627
As: 0.588 0.785 0.373

Summary:
The value obtained for the volume is 54.22 Å³ per atom. The formation energy comes out at -0.994 eV per formula unit. The calculation puts the polymorph energy (0 for the lowest one) at 0.151 eV per atom. The magnetic moment is 0.1 Bohr magnetons per cell. As for the density of states at the Fermi level: 3.34 states/eV/f.u.



First-principles (PBE) data for a relaxed CsBi3As3 crystal, as listed in Alexandria via LeMat-Bulk.

Lattice parameters (Å, degrees): 8.251 8.251 8.251 90.00 90.00 90.00
Atoms (fractional coordinates):
As: 0.500 0.000 0.250
As: 0.500 0.000 0.750
As: 0.000 0.250 0.500
As: 0.750 0.500 0.000
As: 0.000 0.750 0.500
As: 0.250 0.500 0.000
Bi: 0.000 0.500 0.750
Bi: 0.500 0.250 0.000
Bi: 0.750 0.000 0.500
Bi: 0.250 0.000 0.500
Bi: 0.500 0.750 0.000
Bi: 0.000 0.500 0.250
Cs: 0.500 0.500 0.500
Cs: 0.000 0.000 0.000

Summary:
The value obtained for the volume is 40.13 Å³ per atom. The formation energy comes out at -0.080 eV per formula unit. The magnetic moment is 0.0 Bohr magnetons per cell. As for the density of states at the Fermi level: 3.49 states/eV/f.u.



First-principles (PBE) data for a relaxed CsBi2As2 crystal, as listed in Alexandria via LeMat-Bulk.

Lattice parameters (Å, degrees): 9.192 9.192 3.820 90.00 90.00 90.00
Atoms (fractional coordinates):
Bi: 0.377 0.123 0.500
Bi: 0.123 0.623 0.500
Bi: 0.623 0.877 0.500
Bi: 0.877 0.377 0.500
Cs: 0.500 0.500 0.000
Cs: 0.000 0.000 0.000
As: 0.860 0.640 0.000
As: 0.640 0.140 0.000
As: 0.360 0.860 0.000
As: 0.140 0.360 0.000

Summary:
The value obtained for the volume is 32.28 Å³ per atom. The formation energy comes out at 0.213 eV per formula unit. The calculation puts the polymorph energy (0 for the lowest one) at 0.077 eV per atom. The magnetic moment is 0.0 Bohr magnetons per cell. As for the density of states at the Fermi level: 2.11 states/eV/f.u.



First-principles (PBE) data for a relaxed CsBi2As2 crystal, as listed in Alexandria via LeMat-Bulk.

Lattice parameters (Å, degrees): 4.864 4.864 7.731 71.66 71.66 90.00
Atoms (fractional coordinates):
As: 0.412 0.412 0.177
As: 0.588 0.588 0.823
Bi: 0.250 0.750 0.500
Bi: 0.750 0.250 0.500
Cs: 0.000 0.000 0.000

Summary:
The value obtained for the volume is 32.76 Å³ per atom. The formation energy comes out at -0.171 eV per formula unit. The calculation puts the polymorph energy (0 for the lowest one) at 0.000 eV per atom. The magnetic moment is 0.0 Bohr magnetons per cell. As for the density of states at the Fermi level: 2.81 states/eV/f.u.



First-principles (PBE) data for a relaxed Cs2BiAs2 crystal, as listed in Alexandria via LeMat-Bulk.

Lattice parameters (Å, degrees): 5.641 7.711 10.451 78.88 74.34 68.54
Atoms (fractional coordinates):
Cs: 0.325 0.255 0.096
Cs: 0.675 0.745 0.904
Cs: 0.494 0.334 0.677
Cs: 0.506 0.666 0.323
As: 0.182 0.190 0.446
As: 0.818 0.810 0.554
As: 0.993 0.116 0.898
As: 0.007 0.884 0.102
Bi: 0.785 0.084 0.346
Bi: 0.215 0.916 0.654

Summary:
The value obtained for the volume is 40.52 Å³ per atom. The formation energy comes out at -1.564 eV per formula unit. The calculation puts the polymorph energy (0 for the lowest one) at 0.000 eV per atom. The magnetic moment is 0.0 Bohr magnetons per cell. As for the density of states at the Fermi level: 0.22 states/eV/f.u.



First-principles (PBE) data for a relaxed CsBi2As2 crystal, as listed in Alexandria via LeMat-Bulk.

Lattice parameters (Å, degrees): 9.368 9.368 3.767 90.00 90.00 90.00
Atoms (fractional coordinates):
Cs: 0.500 0.500 0.000
Cs: 0.000 0.000 0.000
Bi: 0.116 0.384 0.000
Bi: 0.384 0.884 0.000
Bi: 0.884 0.616 0.000
Bi: 0.616 0.116 0.000
As: 0.355 0.145 0.500
As: 0.145 0.645 0.500
As: 0.855 0.355 0.500
As: 0.645 0.855 0.500

Summary:
The value obtained for the volume is 33.06 Å³ per atom. The formation energy comes out at 0.333 eV per formula unit. The calculation puts the polymorph energy (0 for the lowest one) at 0.101 eV per atom. The magnetic moment is 0.0 Bohr magnetons per cell. As for the density of states at the Fermi level: 2.28 states/eV/f.u.